No. 1
A relaxed structure of MnSbOs2. Source: Alexandria via LeMat-Bulk, functional PBE-GGA.

The structure belongs to space group Cmm2 (No. 35); the cell edges are 2.9216, 4.9768 and 9.2153 Å and the angles 90.00°, 90.00° and 90.00°. The distinct sites, in fractional coordinates, are Mn at (0.0000, 0.0000, 0.0000), Sb at (0.0000, 0.5000, 0.7310), Os at (0.0000, 0.0000, 0.4630) and Os at (0.0000, 0.5000, 0.2280).

For the theoretical density, the calculation gives 13809 kg/m³. As for the uncorrected formation energy: 0.8284 eV/atom.

***

No. 2
A relaxed structure of MnSb2Os. Source: Alexandria via LeMat-Bulk, functional PBE-GGA.

The structure belongs to space group Immm (No. 71); the cell edges are 3.1989, 4.2650 and 13.1527 Å and the angles 90.00°, 90.00° and 90.00°. The distinct sites, in fractional coordinates, are Mn at (0.0000, 0.0000, 0.0000), Sb at (0.0000, 0.5000, 0.1638) and Os at (0.0000, 0.0000, 0.5000).

For the theoretical density, the calculation gives 9044 kg/m³. As for the uncorrected formation energy: 0.3019 eV/atom.

***

No. 3
A relaxed structure of MnSb2Os. Source: Alexandria via LeMat-Bulk, functional PBE-GGA.

The structure belongs to space group Cm (No. 8); the cell edges are 9.2476, 3.2762 and 5.1580 Å and the angles 90.00°, 103.02° and 90.00°. The distinct sites, in fractional coordinates, are Mn at (0.0000, 0.0000, 0.0000), Sb at (0.0128, 0.5000, 0.5286), Sb at (0.2419, 0.5000, 0.1269) and Os at (0.2515, 0.0000, 0.7033).

For the theoretical density, the calculation gives 10660 kg/m³. As for the uncorrected formation energy: 0.3527 eV/atom.

***

No. 4
A relaxed structure of MnSb2Os. Source: Alexandria via LeMat-Bulk, functional PBE-GGA.

The structure belongs to space group P4/mmm (No. 123); the cell edges are 3.2123, 3.2123 and 6.5006 Å and the angles 90.00°, 90.00° and 90.00°. The distinct sites, in fractional coordinates, are Mn at (0.0000, 0.0000, 0.0000), Sb at (0.5000, 0.5000, 0.2378) and Os at (0.0000, 0.0000, 0.5000).

For the theoretical density, the calculation gives 12097 kg/m³. As for the uncorrected formation energy: 0.5072 eV/atom.

***

No. 5
A relaxed structure of Mn2SbOs. Source: Alexandria via LeMat-Bulk, functional PBE-GGA.

The structure belongs to space group F-43m (No. 216); the cell edges are 6.1442, 6.1442 and 6.1442 Å and the angles 90.00°, 90.00° and 90.00°. The distinct sites, in fractional coordinates, are Mn at (0.0000, 0.0000, 0.0000), Mn at (0.2500, 0.2500, 0.2500), Sb at (0.2500, 0.2500, 0.7500) and Os at (0.0000, 0.0000, 0.5000).

For the theoretical density, the calculation gives 12080 kg/m³. As for the uncorrected formation energy: 0.2160 eV/atom.

***

No. 6
A relaxed structure of MnSbOs2. Source: Alexandria via LeMat-Bulk, functional PBE-GGA.

The structure belongs to space group I-4m2 (No. 119); the cell edges are 3.9020, 3.9020 and 8.0501 Å and the angles 90.00°, 90.00° and 90.00°. The distinct sites, in fractional coordinates, are Mn at (0.0000, 0.0000, 0.0000), Sb at (0.0000, 0.5000, 0.2500), Os at (0.0000, 0.0000, 0.5000) and Os at (0.0000, 0.5000, 0.7500).

For the theoretical density, the calculation gives 15097 kg/m³. As for the uncorrected formation energy: 0.4130 eV/atom.

***

No. 7
A relaxed structure of Mn2SbOs. Source: Alexandria via LeMat-Bulk, functional PBE-GGA.

The structure belongs to space group R3m (No. 160, hexagonal axes); the cell edges are 2.9167, 2.9167 and 24.4271 Å and the angles 90.00°, 90.00° and 120.00°. The distinct sites, in fractional coordinates, are Mn at (0.0000, 0.0000, 0.0000), Mn at (0.0000, 0.0000, 0.2591), Sb at (0.0000, 0.0000, 0.5074) and Os at (0.0000, 0.0000, 0.7458).

For the theoretical density, the calculation gives 11678 kg/m³. As for the uncorrected formation energy: 0.6057 eV/atom.

***

No. 8
A relaxed structure of Mn2SbOs. Source: Alexandria via LeMat-Bulk, functional PBE-GGA.

The structure belongs to space group R-3m (No. 166, hexagonal axes); the cell edges are 3.0098, 3.0098 and 25.1820 Å and the angles 90.00°, 90.00° and 120.00°. The distinct sites, in fractional coordinates, are Mn at (0.0000, 0.0000, 0.2436), Sb at (0.0000, 0.0000, 0.0000) and Os at (0.0000, 0.0000, 0.5000).

For the theoretical density, the calculation gives 10638 kg/m³. As for the uncorrected formation energy: 0.4730 eV/atom.

***

No. 9
A relaxed structure of Mn2SbOs. Source: Alexandria via LeMat-Bulk, functional PBE-GGA.

The structure belongs to space group Pmmm (No. 47); the cell edges are 3.1529, 4.2290 and 4.3919 Å and the angles 90.00°, 90.00° and 90.00°. The distinct sites, in fractional coordinates, are Mn at (0.0000, 0.0000, 0.0000), Mn at (0.5000, 0.0000, 0.5000), Sb at (0.0000, 0.5000, 0.5000) and Os at (0.5000, 0.5000, 0.0000).

For the theoretical density, the calculation gives 11963 kg/m³. As for the uncorrected formation energy: 0.2696 eV/atom.

***

No. 10
A relaxed structure of MnSb2Os. Source: Alexandria via LeMat-Bulk, functional PBE-GGA.

The structure belongs to space group Imm2 (No. 44); the cell edges are 3.1177, 4.1823 and 12.3700 Å and the angles 90.00°, 90.00° and 90.00°. The distinct sites, in fractional coordinates, are Mn at (0.0000, 0.0000, 0.0000), Sb at (0.0000, 0.0000, 0.3903), Sb at (0.0000, 0.5000, 0.1490) and Os at (0.0000, 0.5000, 0.7078).

For the theoretical density, the calculation gives 10062 kg/m³. As for the uncorrected formation energy: 0.3371 eV/atom.

***

No. 11
A relaxed structure of Mn2SbOs. Source: Alexandria via LeMat-Bulk, functional PBE-GGA.

The structure belongs to space group I4/mmm (No. 139); the cell edges are 3.8559, 3.8559 and 7.8024 Å and the angles 90.00°, 90.00° and 90.00°. The distinct sites, in fractional coordinates, are Mn at (0.0000, 0.5000, 0.2500), Sb at (0.0000, 0.0000, 0.0000) and Os at (0.0000, 0.0000, 0.5000).

For the theoretical density, the calculation gives 12078 kg/m³. As for the uncorrected formation energy: 0.3076 eV/atom.

***

No. 12
A relaxed structure of Mn4SbOs. Source: Alexandria via LeMat-Bulk, functional PBE-GGA.

The structure belongs to space group F-43m (No. 216); the cell edges are 6.7782, 6.7782 and 6.7782 Å and the angles 90.00°, 90.00° and 90.00°. The distinct sites, in fractional coordinates, are Mn at (0.1247, 0.1247, 0.1247), Sb at (0.2500, 0.2500, 0.7500) and Os at (0.0000, 0.0000, 0.5000).

For the theoretical density, the calculation gives 11342 kg/m³. As for the uncorrected formation energy: 0.3490 eV/atom.

***

Copy entry 7 word for word.
A relaxed structure of Mn2SbOs. Source: Alexandria via LeMat-Bulk, functional PBE-GGA.

The structure belongs to space group R3m (No. 160, hexagonal axes); the cell edges are 2.9167, 2.9167 and 24.4271 Å and the angles 90.00°, 90.00° and 120.00°. The distinct sites, in fractional coordinates, are Mn at (0.0000, 0.0000, 0.0000), Mn at (0.0000, 0.0000, 0.2591), Sb at (0.0000, 0.0000, 0.5074) and Os at (0.0000, 0.0000, 0.7458).

For the theoretical density, the calculation gives 11678 kg/m³. As for the uncorrected formation energy: 0.6057 eV/atom.